--- one ---
5
Lattice="-0.191 0.223 5.182 1.462 -4.972 0.268 4.917 1.453 0.119" Properties=species:S:1:pos:R:3 comment="CdAs2SeF, optimized geometry, DFT PBE" magnetic_moment_mub_per_cell=0.36 pbc="T T T"
As 0.731 -2.486 0.134
As -0.095 0.111 2.591
F 3.094 -1.649 2.784
Se 2.458 0.726 0.059
Cd 0.000 0.000 0.000



--- two ---
5
Lattice="4.337 0.000 0.000 0.000 4.337 0.000 0.000 0.000 5.611" Properties=species:S:1:pos:R:3 comment="CdAs2SeF, optimized geometry, DFT PBE" magnetic_moment_mub_per_cell=0.00 pbc="T T T"
As 0.000 2.168 0.000
As 2.168 0.000 0.000
F 0.000 0.000 0.000
Se 0.000 0.000 2.805
Cd 2.168 2.168 2.805



In terms of stability, two leads; the second structure lies 0.521 eV/atom higher.



--- one ---
4
Lattice="4.082 0.000 0.000 0.000 2.995 -0.302 0.000 0.524 5.202" Properties=species:S:1:pos:R:3 comment="CdFe2As, optimized geometry, DFT PBE" magnetic_moment_mub_per_cell=4.80 pbc="T T T"
As 0.000 2.074 1.815
Cd 2.041 2.291 3.972
Fe 0.000 0.389 0.107
Fe 2.041 0.525 1.456



--- two ---
4
Lattice="4.360 0.004 -0.010 3.297 2.852 -0.010 1.084 0.404 5.122" Properties=species:S:1:pos:R:3 comment="CdFe2As, optimized geometry, DFT PBE" magnetic_moment_mub_per_cell=4.56 pbc="T T T"
As 6.555 2.445 3.826
Cd 2.185 0.815 1.275
Fe 1.079 0.403 4.767
Fe 4.374 1.632 2.906



--- three ---
4
Lattice="4.985 -0.006 0.000 2.049 4.544 0.000 -3.517 -2.269 2.707" Properties=species:S:1:pos:R:3 comment="CdFe2As, optimized geometry, DFT PBE" magnetic_moment_mub_per_cell=5.28 pbc="T T T"
As 3.517 2.269 0.000
Cd 2.492 -0.003 1.354
Fe 0.000 0.000 0.000
Fe 1.025 2.272 1.354



--- four ---
4
Lattice="-1.419 0.925 -4.571 2.020 -3.326 -2.935 -2.961 0.175 3.868" Properties=species:S:1:pos:R:3 comment="CdFe2As, optimized geometry, DFT PBE" magnetic_moment_mub_per_cell=4.70 pbc="T T T"
As -2.040 -0.051 -2.228
Cd -0.320 -2.176 -1.410
Fe 0.584 -2.333 -7.292
Fe 0.318 -1.269 -3.967



In terms of stability, one leads; the second structure lies 0.056 eV/atom higher.



--- one ---
4
Lattice="-4.377 -5.826 -4.046 -1.863 -7.245 -3.676 -3.850 -7.228 -1.551" Properties=species:S:1:pos:R:3 comment="CdFe2As, optimized geometry, DFT PBE" magnetic_moment_mub_per_cell=4.04 pbc="T T T"
As -2.523 -5.075 -2.318
Cd -7.568 -15.224 -6.955
Fe -9.993 -20.102 -9.184
Fe -5.143 -10.346 -4.727



--- two ---
4
Lattice="4.370 0.007 0.007 3.297 2.869 0.007 0.742 0.278 5.285" Properties=species:S:1:pos:R:3 comment="CdFe2As, optimized geometry, DFT PBE" magnetic_moment_mub_per_cell=4.77 pbc="T T T"
As 4.107 1.540 3.097
Cd 2.182 0.818 1.181
Fe 0.806 0.302 4.885
Fe 6.262 2.349 4.072



In terms of stability, two leads; the second structure lies 0.039 eV/atom higher.



--- one ---
4
Lattice="8.952 -0.032 -0.019 8.480 2.870 -0.019 8.480 1.380 2.516" Properties=species:S:1:pos:R:3 comment="CdFe2As, optimized geometry, DFT PBE" magnetic_moment_mub_per_cell=4.82 pbc="T T T"
As 13.473 2.193 1.289
Cd 19.204 3.126 1.837
Fe 25.547 4.159 2.444
Fe 6.558 1.068 0.627



--- two ---
4
Lattice="4.434 0.000 0.000 2.217 3.840 0.000 2.217 1.280 3.620" Properties=species:S:1:pos:R:3 comment="CdFe2As, optimized geometry, DFT PBE" magnetic_moment_mub_per_cell=4.51 pbc="T T T"
As 4.434 2.560 1.810
Cd 6.651 3.840 2.715
Fe 0.000 0.000 0.000
Fe 2.217 1.280 0.905



In terms of stability, one leads; the second structure lies 0.281 eV/atom higher.



--- one ---
8
Lattice="6.977 0.000 0.000 0.000 6.977 0.000 3.488 3.488 2.730" Properties=species:S:1:pos:R:3 comment="CdFe2As, optimized geometry, DFT PBE" magnetic_moment_mub_per_cell=9.69 pbc="T T T"
As 3.488 3.488 0.000
As 3.488 6.977 1.365
Fe 4.955 1.744 0.683
Fe 2.022 5.233 0.683
Fe 5.233 5.511 2.048
Fe 8.721 8.443 2.048
Cd 0.000 0.000 0.000
Cd 6.977 3.488 1.365



--- two ---
4
Lattice="3.033 0.015 0.000 -0.016 3.033 0.000 0.000 0.000 7.054" Properties=species:S:1:pos:R:3 comment="CdFe2As, optimized geometry, DFT PBE" magnetic_moment_mub_per_cell=4.40 pbc="T T T"
As 0.000 0.000 2.939
Cd 1.509 1.524 5.634
Fe 0.000 0.000 0.359
Fe 1.509 1.524 1.649



In terms of stability, two leads; the second structure lies 0.345 eV/atom higher.



--- one ---
4
Lattice="5.351 0.014 0.012 2.634 4.658 -0.012 -3.488 -3.199 2.498" Properties=species:S:1:pos:R:3 comment="CdFe2As, optimized geometry, DFT PBE" magnetic_moment_mub_per_cell=4.87 pbc="T T T"
As 4.263 2.495 0.000
Cd 1.581 1.905 1.243
Fe 7.718 4.517 0.000
Fe 2.912 -0.433 1.255



--- two ---
4
Lattice="3.992 0.000 0.000 0.000 3.996 0.000 0.000 0.000 3.875" Properties=species:S:1:pos:R:3 comment="CdFe2As, optimized geometry, DFT PBE" magnetic_moment_mub_per_cell=5.58 pbc="T T T"
As 1.996 0.000 1.938
Cd 0.000 1.998 1.938
Fe 0.000 0.000 0.000
Fe 1.996 1.998 0.000



--- three ---
4
Lattice="-1.856 0.483 -2.319 1.401 -2.147 -1.568 -2.733 -6.593 0.815" Properties=species:S:1:pos:R:3 comment="CdFe2As, optimized geometry, DFT PBE" magnetic_moment_mub_per_cell=3.82 pbc="T T T"
As -1.261 -1.944 -1.348
Cd -1.927 -6.314 -1.725
Fe 1.180 -2.386 -1.441
Fe -0.445 -4.131 -0.504



--- four ---
4
Lattice="2.495 -2.946 -1.832 -1.106 -4.125 0.144 -1.297 -1.989 -3.552" Properties=species:S:1:pos:R:3 comment="CdFe2As, optimized geometry, DFT PBE" magnetic_moment_mub_per_cell=0.94 pbc="T T T"
As 0.000 0.000 0.000
Fe 0.023 -2.265 -1.310
Fe 0.068 -6.795 -3.930
Cd 0.046 -4.530 -2.620



In terms of stability, three leads; the second structure lies 0.076 eV/atom higher.



--- one ---
10
Lattice="5.929 0.000 0.000 0.000 5.929 0.000 0.000 0.000 4.520" Properties=species:S:1:pos:R:3 comment="Cd2Fe2As, optimized geometry, DFT PBE" magnetic_moment_mub_per_cell=0.00 pbc="T T T"
As 0.000 0.000 0.000
As 2.964 2.964 0.000
Fe 2.149 5.114 0.000
Fe 5.114 3.779 0.000
Fe 3.779 0.815 0.000
Fe 0.815 2.149 0.000
Cd 0.999 3.963 2.260
Cd 3.963 4.930 2.260
Cd 4.930 1.966 2.260
Cd 1.966 0.999 2.260



--- two ---
5
Lattice="5.479 4.271 1.326 1.073 6.990 0.083 -3.956 -5.557 1.868" Properties=species:S:1:pos:R:3 comment="Cd2Fe2As, optimized geometry, DFT PBE" magnetic_moment_mub_per_cell=5.61 pbc="T T T"
Cd 0.197 3.532 1.328
Cd 2.399 2.172 1.949
Fe 3.829 6.580 0.823
Fe 2.723 4.680 0.586
As 0.000 0.000 0.000



In terms of stability, one leads; the second structure lies 0.397 eV/atom higher.



--- one ---
10
Lattice="-3.649 -7.030 2.913 7.490 -2.747 2.753 -0.504 1.414 2.783" Properties=species:S:1:pos:R:3 comment="Cd2GaAs2, optimized geometry, DFT PBE" magnetic_moment_mub_per_cell=0.00 pbc="T T T"
As 4.112 -2.243 3.681
As 3.617 -6.246 5.626
As -0.775 -6.119 4.767
As -0.280 -2.117 2.822
Ga 0.000 0.000 0.000
Ga 1.920 -4.889 2.833
Cd 5.139 -4.922 3.432
Cd 1.623 -7.816 4.267
Cd -1.298 -4.856 2.233
Cd 2.218 -1.961 1.398



--- two ---
5
Lattice="4.472 0.000 0.000 0.000 4.472 0.000 2.236 2.236 6.080" Properties=species:S:1:pos:R:3 comment="Cd2GaAs2, optimized geometry, DFT PBE" magnetic_moment_mub_per_cell=0.00 pbc="T T T"
As 2.236 2.236 1.340
As 4.472 4.472 4.739
Ga 0.000 0.000 0.000
Cd 4.472 2.236 3.040
Cd 2.236 4.472 3.040



--- three ---
10
Lattice="8.136 0.000 0.000 0.000 8.136 0.000 0.000 0.000 3.352" Properties=species:S:1:pos:R:3 comment="Cd2GaAs2, optimized geometry, DFT PBE" magnetic_moment_mub_per_cell=0.00 pbc="T T T"
As 2.709 6.777 0.000
As 6.777 5.427 0.000
As 5.427 1.359 0.000
As 1.359 2.709 0.000
Ga 0.000 0.000 0.000
Ga 4.068 4.068 0.000
Cd 1.103 5.171 1.676
Cd 5.171 7.033 1.676
Cd 7.033 2.965 1.676
Cd 2.965 1.103 1.676



In terms of stability, two leads; the second structure lies 0.052 eV/atom higher.



--- one ---
8
Lattice="8.062 0.000 0.000 0.000 8.062 0.000 4.031 4.031 2.824" Properties=species:S:1:pos:R:3 comment="Cd2GaAs, optimized geometry, DFT PBE" magnetic_moment_mub_per_cell=0.00 pbc="T T T"
As 0.000 0.000 0.000
As 8.062 4.031 1.412
Ga 4.031 4.031 0.000
Ga 4.031 8.062 1.412
Cd 6.263 2.015 0.706
Cd 1.798 6.046 0.706
Cd 6.046 5.829 2.118
Cd 10.077 10.294 2.118



--- two ---
4
Lattice="2.664 -1.813 3.810 -2.206 -2.839 3.460 1.011 -4.881 0.238" Properties=species:S:1:pos:R:3 comment="Cd2GaAs, optimized geometry, DFT PBE" magnetic_moment_mub_per_cell=0.00 pbc="T T T"
As 0.735 -4.766 3.754
Ga 0.000 0.000 0.000
Cd 0.367 -2.383 1.877
Cd 1.102 -7.150 5.631



In terms of stability, two leads; the second structure lies 0.005 eV/atom higher.



--- one ---
5
Lattice="5.095 0.000 0.000 0.000 5.095 0.000 0.000 0.000 5.095" Properties=species:S:1:pos:R:3 comment="CdGa3As, optimized geometry, DFT PBE" magnetic_moment_mub_per_cell=0.00 pbc="T T T"
As 2.548 2.548 2.548
Ga 0.000 2.548 0.000
Ga 0.000 0.000 2.548
Ga 2.548 0.000 0.000
Cd 0.000 0.000 0.000



--- two ---
5
Lattice="5.056 0.000 0.000 0.000 5.056 0.000 0.000 0.000 5.056" Properties=species:S:1:pos:R:3 comment="CdGa3As, optimized geometry, DFT PBE" magnetic_moment_mub_per_cell=0.00 pbc="T T T"
As 0.000 0.000 0.000
Ga 0.000 2.528 0.000
Ga 0.000 0.000 2.528
Ga 2.528 0.000 0.000
Cd 2.528 2.528 2.528



In terms of stability, two leads; the second structure lies 0.244 eV/atom higher.



--- one ---
10
Lattice="-6.740 0.006 -1.929 0.094 -7.001 -0.351 -1.224 -0.231 4.274" Properties=species:S:1:pos:R:3 comment="Cd2Ga2As, optimized geometry, DFT PBE" magnetic_moment_mub_per_cell=0.00 pbc="T T T"
As 0.000 0.000 0.000
As -3.323 -3.497 -1.140
Ga -2.357 -6.031 -1.001
Ga -5.748 -4.463 -1.887
Ga -4.288 -0.964 -1.280
Ga -0.898 -2.532 -0.394
Cd -1.705 -4.816 1.570
Cd -5.060 -5.911 0.551
Cd -6.164 -2.409 0.424
Cd -2.809 -1.315 1.443



--- two ---
10
Lattice="8.373 0.000 0.000 0.000 8.373 0.000 0.000 0.000 3.060" Properties=species:S:1:pos:R:3 comment="Cd2Ga2As, optimized geometry, DFT PBE" magnetic_moment_mub_per_cell=0.00 pbc="T T T"
As 0.000 0.000 0.000
As 4.187 4.187 0.000
Ga 0.951 5.137 1.530
Ga 5.137 7.422 1.530
Ga 7.422 3.236 1.530
Ga 3.236 0.951 1.530
Cd 2.617 6.804 0.000
Cd 6.804 5.756 0.000
Cd 5.756 1.570 0.000
Cd 1.570 2.617 0.000



In terms of stability, one leads; the second structure lies 0.028 eV/atom higher.